No. 1
DFT (PBE) results for ErZrGa2 after structural relaxation.

POSCAR file:
```
ErZrGa2
1.0
1.758 1.015 8.307
-1.758 1.015 8.307
0.000 -2.030 8.307
Er Zr Ga
1 1 2
direct
0.000 0.000 0.000
0.500 0.500 0.500
0.247 0.247 0.247
0.753 0.753 0.753
```

Values from the calculation:
energy: -5.150 eV per atom
space group: R-3m, No. 166
polymorph energy (0 for the lowest one): 227.5 meV per atom
crystal system: trigonal
size of the total moment: 0.0 μB/cell

No. 2
DFT (PBE) results for GaFeSiIr after structural relaxation.

POSCAR file:
```
GaFeSiIr
1.0
0.000 2.936 2.936
2.936 0.000 2.936
2.936 2.936 0.000
Ga Fe Si Ir
1 1 1 1
direct
0.000 0.000 0.000
0.250 0.250 0.250
0.500 0.500 0.500
0.750 0.750 0.750
```

Values from the calculation:
energy: -6.779 eV per atom
space group: F-43m, No. 216
crystal system: cubic
size of the total moment: 0.2 μB/cell

No. 3
DFT (PBE) results for LiMnPdAu after structural relaxation.

POSCAR file:
```
LiMnPdAu
1.0
3.111 0.000 0.000
0.000 3.111 0.000
0.000 0.000 6.239
Li Mn Pd Au
1 1 1 1
direct
0.000 0.000 0.000
0.000 0.000 0.483
0.500 0.500 0.239
0.500 0.500 0.755
```

Values from the calculation:
energy: -5.197 eV per atom
space group: P4mm, No. 99
crystal system: tetragonal
size of the total moment: 4.4 μB/cell

No. 4
DFT (PBE) results for Rb2Cd2Br5 after structural relaxation.

POSCAR file:
```
Rb2Cd2Br5
1.0
7.738 -2.906 0.000
7.738 2.906 0.000
-3.347 0.000 7.651
Rb Cd Br
2 2 5
direct
0.107 0.107 0.301
0.893 0.893 0.699
0.356 0.356 0.129
0.644 0.644 0.871
0.150 0.150 0.908
0.352 0.352 0.451
0.500 0.500 0.000
0.648 0.648 0.549
0.850 0.850 0.092
```

Values from the calculation:
energy: -2.483 eV per atom
space group: C2/m, No. 12
polymorph energy (0 for the lowest one): 3.7 meV per atom
crystal system: monoclinic
size of the total moment: 0.0 μB/cell

No. 5
DFT (PBE) results for GdZnGaPt after structural relaxation.

POSCAR file:
```
GdZnGaPt
1.0
0.000 3.301 3.301
3.301 0.000 3.301
3.301 3.301 0.000
Gd Zn Ga Pt
1 1 1 1
direct
0.000 0.000 0.000
0.750 0.750 0.750
0.250 0.250 0.250
0.500 0.500 0.500
```

Values from the calculation:
energy: -6.766 eV per atom
space group: F-43m, No. 216
crystal system: cubic
size of the total moment: 7.0 μB/cell

No. 6
DFT (PBE) results for K2CdAg after structural relaxation.

POSCAR file:
```
K2CdAg
1.0
0.000 4.195 4.195
4.195 0.000 4.195
4.195 4.195 0.000
K Cd Ag
2 1 1
direct
0.250 0.250 0.250
0.750 0.750 0.750
0.000 0.000 0.000
0.500 0.500 0.500
```

Values from the calculation:
energy: -1.447 eV per atom
space group: Fm-3m, No. 225
polymorph energy (0 for the lowest one): 84.3 meV per atom
crystal system: cubic
size of the total moment: 0.0 μB/cell

No. 7
DFT (PBE) results for YBe3 after structural relaxation.

POSCAR file:
```
YBe3
1.0
3.645 0.000 0.000
0.000 5.959 0.000
0.000 0.000 5.244
Y Be
2 6
direct
0.250 0.250 0.115
0.750 0.750 0.885
0.250 0.058 0.600
0.250 0.442 0.600
0.250 0.750 0.377
0.750 0.250 0.623
0.750 0.558 0.400
0.750 0.942 0.400
```

Values from the calculation:
energy: -4.481 eV per atom
space group: Pmmn, No. 59
polymorph energy (0 for the lowest one): 4.3 meV per atom
crystal system: orthorhombic
size of the total moment: 0.0 μB/cell

No. 8
DFT (PBE) results for Na2ZnCdBr6 after structural relaxation.

POSCAR file:
```
Na2ZnCdBr6
1.0
6.770 0.000 0.000
1.176 7.163 0.000
2.204 2.524 6.810
Na Zn Cd Br
2 1 1 6
direct
0.000 0.000 0.000
0.374 0.393 0.116
0.635 0.023 0.705
0.202 0.628 0.602
0.016 0.403 0.957
0.018 0.010 0.602
0.071 0.643 0.306
0.515 0.324 0.478
0.531 0.710 0.709
0.545 0.017 0.042
```

Values from the calculation:
energy: -2.591 eV per atom
space group: P1, No. 1
crystal system: triclinic
size of the total moment: 0.0 μB/cell

No. 9
DFT (PBE) results for CrTcW2 after structural relaxation.

POSCAR file:
```
CrTcW2
1.0
4.849 -1.548 0.000
4.849 1.548 0.000
-2.001 0.000 3.933
Cr Tc W
1 1 2
direct
0.000 0.000 0.000
0.500 0.500 0.500
0.255 0.255 0.755
0.745 0.745 0.245
```

Values from the calculation:
energy: -11.393 eV per atom
space group: C2/m, No. 12
polymorph energy (0 for the lowest one): 63.0 meV per atom
crystal system: monoclinic
size of the total moment: 0.0 μB/cell

No. 10
DFT (PBE) results for Ba6Ag2IrPd after structural relaxation.

POSCAR file:
```
Ba6Ag2IrPd
1.0
4.120 2.379 7.418
-4.120 2.379 7.418
0.000 -4.758 7.418
Ba Ag Ir Pd
6 2 1 1
direct
0.005 0.374 0.621
0.134 0.888 0.491
0.374 0.621 0.005
0.491 0.134 0.888
0.621 0.005 0.374
0.888 0.491 0.134
0.063 0.063 0.063
0.566 0.566 0.566
0.255 0.255 0.255
0.755 0.755 0.755
```

Values from the calculation:
energy: -3.347 eV per atom
space group: R3, No. 146
crystal system: trigonal
size of the total moment: 0.0 μB/cell

No. 11
DFT (PBE) results for TlBi2I2 after structural relaxation.

POSCAR file:
```
TlBi2I2
1.0
-2.256 2.256 9.807
2.256 -2.256 9.807
2.256 2.256 -9.807
Tl Bi I
1 2 2
direct
0.000 0.000 0.000
0.250 0.750 0.500
0.750 0.250 0.500
0.401 0.401 0.000
0.599 0.599 0.000
```

Values from the calculation:
energy: -2.750 eV per atom
space group: I4/mmm, No. 139
polymorph energy (0 for the lowest one): 0.0 meV per atom
crystal system: tetragonal
size of the total moment: 0.0 μB/cell

No. 12
DFT (PBE) results for AcTb3YEr after structural relaxation.

POSCAR file:
```
AcTb3YEr
1.0
11.585 -2.706 0.000
11.585 2.706 0.000
-1.003 0.000 6.917
Ac Tb Y Er
2 6 2 2
direct
0.127 0.127 0.484
0.873 0.873 0.516
0.022 0.022 0.783
0.274 0.274 0.691
0.319 0.319 0.217
0.681 0.681 0.783
0.726 0.726 0.309
0.978 0.978 0.217
0.425 0.425 0.888
0.575 0.575 0.112
0.168 0.168 0.023
0.832 0.832 0.977
```

Values from the calculation:
energy: -4.617 eV per atom
space group: C2/m, No. 12
crystal system: monoclinic
size of the total moment: 0.0 μB/cell

No. 13
DFT (PBE) results for CeBi2Pd2 after structural relaxation.

POSCAR file:
```
CeBi2Pd2
1.0
4.967 0.000 0.000
0.000 4.655 0.000
-2.311 0.000 10.951
Ce Bi Pd
2 4 4
direct
0.125 0.250 0.301
0.875 0.750 0.699
0.254 0.750 0.015
0.374 0.250 0.641
0.626 0.750 0.359
0.746 0.250 0.985
0.167 0.250 0.855
0.184 0.750 0.508
0.816 0.250 0.492
0.833 0.750 0.145
```

Values from the calculation:
energy: -5.362 eV per atom
space group: P2_1/m, No. 11
crystal system: monoclinic
size of the total moment: 1.5 μB/cell